VASP calculation (GGA-PBE) on an optimized crystal structure of Sc2Si4Ir3.

Lattice parameters (Å, degrees): 5.5192 14.3436 7.0018 90.00 90.00 90.00
Space group Cmce (No. 64)
Symmetry-distinct sites (fractional):
Sc (0.0000, 0.1029, 0.0966) (multiplicity 8)
Si (0.0000, 0.1773, 0.4739) (multiplicity 8)
Si (0.2500, 0.0637, 0.7500) (multiplicity 8)
Ir (0.0000, 0.0000, 0.5000) (multiplicity 4)
Ir (0.2500, 0.2329, 0.7500) (multiplicity 8)

Summary:
- Relative energy among the computed polymorphs: 0.000 eV per atom
- Total magnetization: 0.000 μB/atom
- Total energy: -7.705 eV per atom